Compound: ReP2
Source: the Alexandria database
Functional: PBE
Structure: optimized geometry

Results
- SG = Immm
- total magnetization (μB per cell) = 0.00
- ΔH_f (0 K) (meV/atom) = 302
- total energy (eV per cell) = -22.36

a = 4.4554 Å, b = 4.4554 Å, c = 4.4554 Å
α = 140.69°, β = 132.11°, γ = 63.62°
Sites, in units of the cell vectors:
P 0.6626 0.6626 0.0000
P 0.3374 0.3374 0.0000
Re 0.0000 0.0000 0.0000


Compound: Re2P
Source: the Alexandria database
Functional: PBE
Structure: optimized geometry

Results
- SG = Fd-3m
- total magnetization (μB per cell) = 0.00
- ΔH_f (0 K) (meV/atom) = 1082
- total energy (eV per cell) = -54.12

a = 5.1973 Å, b = 5.1973 Å, c = 5.1973 Å
α = 60.00°, β = 60.00°, γ = 60.00°
Sites, in units of the cell vectors:
Re 0.6250 0.1250 0.1250
Re 0.1250 0.6250 0.1250
Re 0.1250 0.1250 0.6250
Re 0.1250 0.1250 0.1250
P 0.5000 0.5000 0.5000
P 0.7500 0.7500 0.7500


Compound: ReP2
Source: the Alexandria database
Functional: PBE
Structure: optimized geometry

Results
- SG = Cmcm
- total magnetization (μB per cell) = 0.00
- ΔH_f (0 K) (meV/atom) = -124
- total energy (eV per cell) = -47.28

a = 6.0281 Å, b = 6.0281 Å, c = 4.6364 Å
α = 90.00°, β = 90.00°, γ = 150.19°
Sites, in units of the cell vectors:
Re 0.3022 0.6978 0.7500
Re 0.6978 0.3022 0.2500
P 0.6366 0.3634 0.7500
P 0.9701 0.0299 0.7500
P 0.0299 0.9701 0.2500
P 0.3634 0.6366 0.2500


Compound: ReP2
Source: the Alexandria database
Functional: PBE
Structure: optimized geometry

Results
- SG = Pnma
- total magnetization (μB per cell) = 0.00
- ΔH_f (0 K) (meV/atom) = -11
- total energy (eV per cell) = -93.20

a = 4.0638 Å, b = 5.4716 Å, c = 7.4373 Å
α = 90.00°, β = 90.00°, γ = 90.00°
Sites, in units of the cell vectors:
Re 0.2500 0.7600 0.3300
Re 0.7500 0.7400 0.8300
Re 0.2500 0.2600 0.1700
Re 0.7500 0.2400 0.6700
P 0.2500 0.0745 0.8562
P 0.7500 0.4255 0.3562
P 0.2500 0.5745 0.6438
P 0.7500 0.9255 0.1438
P 0.2500 0.1560 0.4908
P 0.7500 0.3440 0.9908
P 0.2500 0.6560 0.0092
P 0.7500 0.8440 0.5092


Compound: ReP2
Source: the Alexandria database
Functional: PBE
Structure: optimized geometry

Results
- SG = I4/mcm
- total magnetization (μB per cell) = 0.00
- ΔH_f (0 K) (meV/atom) = -36
- total energy (eV per cell) = -46.75

a = 4.8016 Å, b = 4.8016 Å, c = 4.8016 Å
α = 110.30°, β = 110.30°, γ = 107.83°
Sites, in units of the cell vectors:
Re 0.2500 0.2500 0.0000
Re 0.7500 0.7500 0.0000
P 0.3534 0.8534 0.2069
P 0.6466 0.1466 0.7931
P 0.1466 0.3534 0.5000
P 0.8534 0.6466 0.5000


Compound: ReP2
Source: the Alexandria database
Functional: PBE
Structure: optimized geometry

Results
- SG = C2/m
- total magnetization (μB per cell) = 0.00
- ΔH_f (0 K) (meV/atom) = -99
- total energy (eV per cell) = -47.13

a = 4.4837 Å, b = 4.4837 Å, c = 7.5223 Å
α = 87.62°, β = 87.62°, γ = 39.39°
Sites, in units of the cell vectors:
Re 0.0810 0.0810 0.8327
Re 0.9190 0.9190 0.1673
P 0.6364 0.6364 0.1121
P 0.3931 0.3931 0.4162
P 0.3636 0.3636 0.8879
P 0.6069 0.6069 0.5838


Compound: ReP2
Source: the Alexandria database
Functional: PBE
Structure: optimized geometry

Results
- SG = Imm2
- total magnetization (μB per cell) = 0.00
- ΔH_f (0 K) (meV/atom) = -144
- total energy (eV per cell) = -47.40

a = 3.1098 Å, b = 5.0913 Å, c = 6.4477 Å
α = 90.00°, β = 90.00°, γ = 90.00°
Sites, in units of the cell vectors:
Re 0.0000 0.0000 0.4295
Re 0.5000 0.5000 0.9295
P 0.0000 0.2160 0.7703
P 0.0000 0.7840 0.7703
P 0.5000 0.7160 0.2703
P 0.5000 0.2840 0.2703


Compound: Re2P
Source: the Alexandria database
Functional: PBE
Structure: optimized geometry

Results
- SG = Cmcm
- total magnetization (μB per cell) = 0.00
- ΔH_f (0 K) (meV/atom) = -142
- total energy (eV per cell) = -61.47

a = 6.7821 Å, b = 6.7821 Å, c = 4.4038 Å
α = 90.00°, β = 90.00°, γ = 155.39°
Sites, in units of the cell vectors:
Re 0.1257 0.8743 0.7500
Re 0.4448 0.5552 0.7500
Re 0.5552 0.4448 0.2500
Re 0.8743 0.1257 0.2500
P 0.7890 0.2110 0.7500
P 0.2110 0.7890 0.2500


Compound: RePRh2
Source: the Alexandria database
Functional: PBE
Structure: optimized geometry

Results
- SG = P4/mmm
- total magnetization (μB per cell) = 0.00
- ΔH_f (0 K) (meV/atom) = 234
- total energy (eV per cell) = -31.63

a = 4.5952 Å, b = 4.5952 Å, c = 2.7295 Å
α = 90.00°, β = 90.00°, γ = 90.00°
Sites, in units of the cell vectors:
Re 0.0000 0.0000 0.5000
P 0.5000 0.5000 0.5000
Rh 0.5000 0.0000 0.0000
Rh 0.0000 0.5000 0.0000


Compound: ReP2Rh
Source: the Alexandria database
Functional: PBE
Structure: optimized geometry

Results
- SG = P4mm
- total magnetization (μB per cell) = 0.00
- ΔH_f (0 K) (meV/atom) = -16
- total energy (eV per cell) = -30.68

a = 2.8583 Å, b = 2.8583 Å, c = 7.6063 Å
α = 90.00°, β = 90.00°, γ = 89.99°
Sites, in units of the cell vectors:
P 0.0000 0.0000 0.9441
P 0.5000 0.5000 0.3082
Re 0.0000 0.0000 0.4919
Rh 0.5000 0.5000 0.7558


Compound: ReP2Rh
Source: the Alexandria database
Functional: PBE
Structure: optimized geometry

Results
- SG = R3m
- total magnetization (μB per cell) = 0.00
- ΔH_f (0 K) (meV/atom) = -88
- total energy (eV per cell) = -30.97

a = 7.5609 Å, b = 7.5609 Å, c = 7.5609 Å
α = 22.77°, β = 22.77°, γ = 22.77°
Sites, in units of the cell vectors:
P 0.0002 0.0002 0.0002
P 0.2513 0.2513 0.2513
Re 0.5108 0.5108 0.5108
Rh 0.7377 0.7377 0.7377


Compound: RePRh2
Source: the Alexandria database
Functional: PBE
Structure: optimized geometry

Results
- SG = P4/mmm
- total magnetization (μB per cell) = 0.01
- ΔH_f (0 K) (meV/atom) = 157
- total energy (eV per cell) = -31.93

a = 3.7594 Å, b = 3.7594 Å, c = 3.9283 Å
α = 90.00°, β = 90.00°, γ = 90.00°
Sites, in units of the cell vectors:
Re 0.0000 0.0000 0.5000
P 0.5000 0.5000 0.5000
Rh 0.0000 0.5000 0.0000
Rh 0.5000 0.0000 0.0000


Compound: RePRh2
Source: the Alexandria database
Functional: PBE
Structure: optimized geometry

Results
- SG = P4mm
- total magnetization (μB per cell) = 0.00
- ΔH_f (0 K) (meV/atom) = -185
- total energy (eV per cell) = -33.30

a = 2.8746 Å, b = 2.8746 Å, c = 6.6724 Å
α = 90.00°, β = 90.00°, γ = 90.00°
Sites, in units of the cell vectors:
Re 0.5000 0.5000 0.7187
P 0.0000 0.0000 0.5025
Rh 0.0000 0.0000 0.9836
Rh 0.5000 0.5000 0.2952


Compound: RePRh2
Source: the Alexandria database
Functional: PBE
Structure: optimized geometry

Results
- SG = Cm
- total magnetization (μB per cell) = 0.00
- ΔH_f (0 K) (meV/atom) = -187
- total energy (eV per cell) = -33.31

a = 5.0192 Å, b = 5.0192 Å, c = 4.4817 Å
α = 65.76°, β = 65.76°, γ = 33.23°
Sites, in units of the cell vectors:
Re 0.2106 0.2106 0.2545
P 0.5031 0.5031 0.5659
Rh 0.9938 0.9938 0.9973
Rh 0.7925 0.7925 0.6824


Compound: RePRh2
Source: the Alexandria database
Functional: PBE
Structure: optimized geometry

Results
- SG = I-42d
- total magnetization (μB per cell) = 0.00
- ΔH_f (0 K) (meV/atom) = 459
- total energy (eV per cell) = -61.45

a = 5.2698 Å, b = 5.2698 Å, c = 6.7609 Å
α = 67.06°, β = 67.06°, γ = 90.00°
Sites, in units of the cell vectors:
Re 0.0000 0.0000 0.0000
Re 0.7500 0.2500 0.5000
Rh 0.6001 0.1250 0.2500
Rh 0.1499 0.6250 0.2500
Rh 0.3750 0.3999 0.7500
Rh 0.8750 0.8501 0.7500
P 0.5000 0.5000 0.0000
P 0.2500 0.7500 0.5000


Compound: RePRh2
Source: the Alexandria database
Functional: PBE
Structure: optimized geometry

Results
- SG = Pmmm
- total magnetization (μB per cell) = 0.00
- ΔH_f (0 K) (meV/atom) = 90
- total energy (eV per cell) = -32.20

a = 2.9456 Å, b = 4.3260 Å, c = 4.3684 Å
α = 90.00°, β = 90.00°, γ = 90.00°
Sites, in units of the cell vectors:
Re 0.0000 0.5000 0.5000
P 0.5000 0.0000 0.5000
Rh 0.0000 0.0000 0.0000
Rh 0.5000 0.5000 0.0000


Compound: ReP2Rh
Source: the Alexandria database
Functional: PBE
Structure: optimized geometry

Results
- SG = I4/mmm
- total magnetization (μB per cell) = 0.00
- ΔH_f (0 K) (meV/atom) = -79
- total energy (eV per cell) = -30.93

a = 4.2239 Å, b = 4.2239 Å, c = 4.2239 Å
α = 120.12°, β = 120.12°, γ = 89.79°
Sites, in units of the cell vectors:
P 0.0000 0.0000 0.0000
P 0.5000 0.5000 0.0000
Re 0.2500 0.7500 0.5000
Rh 0.7500 0.2500 0.5000


Compound: ReP2Rh
Source: the Alexandria database
Functional: PBE
Structure: optimized geometry

Results
- SG = I-42d
- total magnetization (μB per cell) = 0.00
- ΔH_f (0 K) (meV/atom) = -142
- total energy (eV per cell) = -62.37

a = 5.2691 Å, b = 5.2691 Å, c = 6.4653 Å
α = 65.95°, β = 65.95°, γ = 90.00°
Sites, in units of the cell vectors:
Re 0.0000 0.0000 0.0000
Re 0.7500 0.2500 0.5000
Rh 0.5000 0.5000 0.0000
Rh 0.2500 0.7500 0.5000
P 0.6262 0.1250 0.2500
P 0.1238 0.6250 0.2500
P 0.3750 0.3738 0.7500
P 0.8750 0.8762 0.7500


Compound: ReP2Rh
Source: the Alexandria database
Functional: PBE
Structure: optimized geometry

Results
- SG = Cmmm
- total magnetization (μB per cell) = 0.00
- ΔH_f (0 K) (meV/atom) = 210
- total energy (eV per cell) = -29.78

a = 2.9283 Å, b = 2.9283 Å, c = 7.5319 Å
α = 90.00°, β = 90.00°, γ = 117.67°
Sites, in units of the cell vectors:
P 0.0000 0.0000 0.9995
P 0.0000 0.0000 0.5005
Re 0.5000 0.5000 0.2500
Rh 0.5000 0.5000 0.7500


Compound: RePRh2
Source: the Alexandria database
Functional: PBE
Structure: optimized geometry

Results
- SG = I4/mmm
- total magnetization (μB per cell) = 0.00
- ΔH_f (0 K) (meV/atom) = 39
- total energy (eV per cell) = -32.40

a = 4.7317 Å, b = 4.7317 Å, c = 4.7317 Å
α = 133.34°, β = 133.34°, γ = 68.12°
Sites, in units of the cell vectors:
Re 0.0000 0.0000 0.0000
P 0.5000 0.5000 0.0000
Rh 0.7500 0.2500 0.5000
Rh 0.2500 0.7500 0.5000


Compound: RePRh3
Source: the Alexandria database
Functional: PBE
Structure: optimized geometry

Results
- SG = Pm-3m
- total magnetization (μB per cell) = 4.82
- ΔH_f (0 K) (meV/atom) = 636
- total energy (eV per cell) = -36.73

a = 4.3584 Å, b = 4.3584 Å, c = 4.3584 Å
α = 90.00°, β = 90.00°, γ = 90.00°
Site moments in Bohr magnetons follow the coordinates.
Sites, in units of the cell vectors:
Re 0.5000 0.5000 0.5000  3.10
Rh 0.0000 0.5000 0.0000  0.36
Rh 0.0000 0.0000 0.5000  0.33
Rh 0.5000 0.0000 0.0000  0.49
P 0.0000 0.0000 0.0000  0.03


Compound: RePRh2
Source: the Alexandria database
Functional: PBE
Structure: optimized geometry

Results
- SG = F-43m
- total magnetization (μB per cell) = 0.00
- ΔH_f (0 K) (meV/atom) = 63
- total energy (eV per cell) = -32.31

a = 4.2841 Å, b = 4.2841 Å, c = 4.2841 Å
α = 60.00°, β = 60.00°, γ = 60.00°
Sites, in units of the cell vectors:
Re 0.2500 0.2500 0.2500
P 0.5000 0.5000 0.5000
Rh 0.0000 0.0000 0.0000
Rh 0.7500 0.7500 0.7500


Compound: ReP2Rh
Source: the Alexandria database
Functional: PBE
Structure: optimized geometry

Results
- SG = F-43m
- total magnetization (μB per cell) = 0.00
- ΔH_f (0 K) (meV/atom) = 505
- total energy (eV per cell) = -28.60

a = 4.3162 Å, b = 4.3162 Å, c = 4.3162 Å
α = 60.00°, β = 60.00°, γ = 60.00°
Sites, in units of the cell vectors:
P 0.0000 0.0000 0.0000
P 0.2500 0.2500 0.2500
Re 0.5000 0.5000 0.5000
Rh 0.7500 0.7500 0.7500


Compound: RePRh2
Source: the Alexandria database
Functional: PBE
Structure: optimized geometry

Results
- SG = I-4m2
- total magnetization (μB per cell) = 0.00
- ΔH_f (0 K) (meV/atom) = 50
- total energy (eV per cell) = -32.36

a = 4.4537 Å, b = 4.4537 Å, c = 4.4537 Å
α = 126.43°, β = 126.43°, γ = 79.19°
Sites, in units of the cell vectors:
Re 0.7500 0.2500 0.5000
P 0.5000 0.5000 0.0000
Rh 0.0000 0.0000 0.0000
Rh 0.2500 0.7500 0.5000


Compound: ReP3Rh
Source: the Alexandria database
Functional: PBE
Structure: optimized geometry

Results
- SG = Pm-3m
- total magnetization (μB per cell) = 0.00
- ΔH_f (0 K) (meV/atom) = 1321
- total energy (eV per cell) = -29.43

a = 4.4689 Å, b = 4.4689 Å, c = 4.4689 Å
α = 90.00°, β = 90.00°, γ = 90.00°
Sites, in units of the cell vectors:
Re 0.5000 0.5000 0.5000
Rh 0.0000 0.0000 0.0000
P 0.0000 0.5000 0.0000
P 0.0000 0.0000 0.5000
P 0.5000 0.0000 0.0000


Compound: RePRh2
Source: the Alexandria database
Functional: PBE
Structure: optimized geometry

Results
- SG = Immm
- total magnetization (μB per cell) = 0.00
- ΔH_f (0 K) (meV/atom) = -143
- total energy (eV per cell) = -33.13

a = 5.0007 Å, b = 5.0007 Å, c = 5.0007 Å
α = 144.74°, β = 130.25°, γ = 62.44°
Sites, in units of the cell vectors:
Re 0.5000 0.0000 0.5000
P 0.0000 0.5000 0.5000
Rh 0.7836 0.7836 0.0000
Rh 0.2164 0.2164 0.0000


Compound: RePRh2
Source: the Alexandria database
Functional: PBE
Structure: optimized geometry

Results
- SG = P4/mmm
- total magnetization (μB per cell) = 0.00
- ΔH_f (0 K) (meV/atom) = -90
- total energy (eV per cell) = -32.92

a = 2.7804 Å, b = 2.7804 Å, c = 7.1342 Å
α = 90.00°, β = 90.00°, γ = 90.00°
Sites, in units of the cell vectors:
Re 0.5000 0.5000 0.5000
P 0.5000 0.5000 0.0000
Rh 0.0000 0.0000 0.7736
Rh 0.0000 0.0000 0.2264


Compound: RePRh2
Source: the Alexandria database
Functional: PBE
Structure: optimized geometry

Results
- SG = C2/m
- total magnetization (μB per cell) = 0.00
- ΔH_f (0 K) (meV/atom) = -36
- total energy (eV per cell) = -32.70

a = 4.7797 Å, b = 4.7797 Å, c = 4.3682 Å
α = 89.39°, β = 89.39°, γ = 34.45°
Sites, in units of the cell vectors:
Re 0.0000 0.0000 0.5000
P 0.5000 0.5000 0.0000
Rh 0.2735 0.2735 0.7471
Rh 0.7265 0.7265 0.2529


Compound: ReP2Rh
Source: the Alexandria database
Functional: PBE
Structure: optimized geometry

Results
- SG = I-4m2
- total magnetization (μB per cell) = 0.16
- ΔH_f (0 K) (meV/atom) = 194
- total energy (eV per cell) = -29.84

a = 5.1168 Å, b = 5.1168 Å, c = 5.1168 Å
α = 139.95°, β = 139.95°, γ = 57.93°
Site moments in Bohr magnetons follow the coordinates.
Sites, in units of the cell vectors:
P 0.0000 0.0000 0.0000  0.00
P 0.2500 0.7500 0.5000  0.00
Re 0.5000 0.5000 0.0000  0.15
Rh 0.7500 0.2500 0.5000  0.00